1.
Crystalline KCd9Hg2 at its relaxed geometry. Source: Alexandria, functional PBE.

a = 9.8851 Å, b = 9.8851 Å, c = 3.5138 Å
α = 90.00°, β = 90.00°, γ = 120.00°
Space group P6/mmm (No. 191)
Inequivalent atoms, fractional coordinates:
K  0.0000  0.0000  0.0000 [1 per cell]
Cd  0.0000  0.5000  0.0000 [3 per cell]
Cd  0.1795  0.3590  0.5000 [6 per cell]
Hg  0.3333  0.6667  0.0000 [2 per cell]

Values from the calculation:
For the total DFT energy (no corrections), the calculation gives -9.955 eV/cell. The density of states at the Fermi level comes out at 3.19 states/eV per cell. The value obtained for the relative energy among the computed polymorphs is 3 meV/atom. The volume comes out at 297.4 Å³ per cell.


2.
Crystalline K2CdHg4 at its relaxed geometry. Source: Alexandria, functional PBE.

a = 6.669 Å, b = 6.991 Å, c = 10.012 Å
α = 90.00°, β = 104.06°, γ = 90.00°
Space group P2_1/m (No. 11)
Inequivalent atoms, fractional coordinates:
K  0.120  0.250  0.410 [2 per cell]
K  0.293  0.750  0.018 [2 per cell]
Cd  0.114  0.250  0.786 [2 per cell]
Hg  0.237  0.250  0.092 [2 per cell]
Hg  0.307  0.750  0.404 [2 per cell]
Hg  0.404  0.530  0.699 [4 per cell]

Values from the calculation:
For the total DFT energy (no corrections), the calculation gives -11.533 eV/cell. The density of states at the Fermi level comes out at 6.19 states/eV per cell. The value obtained for the relative energy among the computed polymorphs is 0 meV/atom. The volume comes out at 452.8 Å³ per cell.


3.
Crystalline K3Cd2Hg3 at its relaxed geometry. Source: Alexandria, functional PBE.

a = 5.170 Å, b = 12.520 Å, c = 17.135 Å
α = 90.00°, β = 90.00°, γ = 90.00°
Space group Cmcm (No. 63)
Inequivalent atoms, fractional coordinates:
K  0.000  0.080  0.107 [8 per cell]
K  0.000  0.375  0.250 [4 per cell]
Cd  0.000  0.215  0.593 [8 per cell]
Hg  0.000  0.332  0.750 [4 per cell]
Hg  0.000  0.385  0.039 [8 per cell]

Values from the calculation:
For the total DFT energy (no corrections), the calculation gives -30.770 eV/cell. The density of states at the Fermi level comes out at 15.57 states/eV per cell. The volume comes out at 1109.0 Å³ per cell.


4.
Crystalline K4CdHg4 at its relaxed geometry. Source: Alexandria, functional PBE.

a = 7.282 Å, b = 7.282 Å, c = 14.593 Å
α = 90.00°, β = 90.00°, γ = 90.00°
Space group I-42m (No. 121)
Inequivalent atoms, fractional coordinates:
K  0.222  0.222  0.357 [8 per cell]
Cd  0.000  0.000  0.000 [2 per cell]
Hg  0.240  0.240  0.112 [8 per cell]

Values from the calculation:
For the total DFT energy (no corrections), the calculation gives -15.785 eV/cell. The density of states at the Fermi level comes out at 13.13 states/eV per cell. The volume comes out at 773.9 Å³ per cell.


5.
Crystalline K2Cd4Hg at its relaxed geometry. Source: Alexandria, functional PBE.

a = 5.548 Å, b = 5.548 Å, c = 18.083 Å
α = 90.00°, β = 90.00°, γ = 90.00°
Space group I4/mmm (No. 139)
Inequivalent atoms, fractional coordinates:
K  0.000  0.000  0.142 [4 per cell]
Cd  0.000  0.000  0.339 [4 per cell]
Cd  0.000  0.500  0.000 [4 per cell]
Hg  0.000  0.000  0.500 [2 per cell]

Values from the calculation:
For the total DFT energy (no corrections), the calculation gives -11.014 eV/cell. The density of states at the Fermi level comes out at 11.40 states/eV per cell. The volume comes out at 556.5 Å³ per cell.


6.
Crystalline K17Cd11Hg at its relaxed geometry. Source: Alexandria, functional PBE.

a = 13.686 Å, b = 17.745 Å, c = 11.255 Å
α = 90.00°, β = 115.40°, γ = 90.00°
Space group Cm (No. 8)
Inequivalent atoms, fractional coordinates:
K  0.000  0.000  0.000 [2 per cell]
K  0.002  0.000  0.623 [2 per cell]
K  0.021  0.302  0.344 [4 per cell]
K  0.172  0.178  0.203 [4 per cell]
K  0.188  0.186  0.624 [4 per cell]
K  0.212  0.500  0.335 [2 per cell]
K  0.219  0.500  0.945 [2 per cell]
K  0.288  0.292  0.971 [4 per cell]
K  0.355  0.000  0.233 [2 per cell]
K  0.464  0.116  0.621 [4 per cell]
K  0.478  0.123  0.978 [4 per cell]
Cd  0.170  0.000  0.428 [2 per cell]
Cd  0.200  0.088  0.914 [4 per cell]
Cd  0.272  0.412  0.664 [4 per cell]
Cd  0.363  0.321  0.485 [4 per cell]
Cd  0.449  0.408  0.306 [4 per cell]
Cd  0.493  0.318  0.797 [4 per cell]
Hg  0.291  0.000  0.732 [2 per cell]

Values from the calculation:
For the total DFT energy (no corrections), the calculation gives -59.823 eV/cell. The density of states at the Fermi level comes out at 33.54 states/eV per cell. The volume comes out at 2469.1 Å³ per cell.